Density functional theory data (PBEsol) for Tl2CdAg after structural relaxation.

offset from the most stable computed form: 78 meV/atom
crystal system: trigonal

a b c (Å): 3.3440 3.3440 28.6075
angles (deg): 90.00 90.00 120.00
With the nearest neighbours (Å) after each atom.
Space group R-3m (No. 166, hexagonal axes)
One atom of each set of equivalent atoms:
Tl (0.0000, 0.0000, 0.2455)  3 Ag 2.97, 3 Cd 3.17
Cd (0.0000, 0.0000, 0.0000)  6 Tl 3.17, 6 Cd 3.34
Ag (0.0000, 0.0000, 0.5000)  6 Tl 2.97



Density functional theory data (PBEsol) for TlCd2Ag2 after structural relaxation.

crystal system: tetragonal

a b c (Å): 8.5418 8.5418 3.0619
angles (deg): 90.00 90.00 90.00
With the nearest neighbours (Å) after each atom.
Space group P4/mbm (No. 127)
One atom of each set of equivalent atoms:
Tl (0.0000, 0.0000, 0.0000)  2 Tl 3.06, 4 Cd 3.36
Cd (0.1273, 0.3727, 0.0000)  6 Ag 2.89-2.99, 3 Cd 3.06-3.07
Ag (0.1699, 0.6699, 0.5000)  6 Cd 2.89-2.99, 2 Ag 3.06



Density functional theory data (PBEsol) for Tl2CdAg after structural relaxation.

offset from the most stable computed form: 84 meV/atom
crystal system: monoclinic

a b c (Å): 6.4195 8.7192 3.2918
angles (deg): 90.00 90.59 90.00
With the nearest neighbours (Å) after each atom.
Space group C2/m (No. 12)
One atom of each set of equivalent atoms:
Tl (0.2500, 0.2500, 0.0000)  4 Cd 3.16-3.18, 4 Ag 3.16-3.18, 4 Tl 3.21-3.29
Cd (0.0000, 0.0000, 0.5000)  8 Tl 3.16-3.18, 2 Ag 3.21, 2 Cd 3.29
Ag (0.0000, 0.5000, 0.5000)  8 Tl 3.16-3.18, 2 Cd 3.21, 2 Ag 3.29



Density functional theory data (PBEsol) for TlCd2Ag after structural relaxation.

offset from the most stable computed form: 50 meV/atom
crystal system: monoclinic

a b c (Å): 9.6514 3.1769 5.6748
angles (deg): 90.00 101.72 90.00
With the nearest neighbours (Å) after each atom.
Space group Cm (No. 8)
One atom of each set of equivalent atoms:
Tl (0.0000, 0.0000, 0.0000)  3 Ag 3.02-3.06, 7 Cd 3.09-3.33, 2 Tl 3.18
Cd (0.2402, 0.0000, 0.7133)  5 Cd 2.96-3.18, 2 Ag 3.05, 3 Tl 3.09-3.13
Cd (0.4907, 0.0000, 0.4805)  3 Ag 2.88-3.03, 5 Cd 2.96-3.18, 2 Tl 3.17
Ag (0.2510, 0.5000, 0.2594)  5 Cd 2.88-3.05, 3 Tl 3.02-3.06, 2 Ag 3.18



Density functional theory data (PBEsol) for Tl2CdAg after structural relaxation.

offset from the most stable computed form: 75 meV/atom
crystal system: tetragonal

a b c (Å): 3.5541 3.5541 7.3740
angles (deg): 90.00 90.00 90.00
With the nearest neighbours (Å) after each atom.
Space group P4/mmm (No. 123)
One atom of each set of equivalent atoms:
Tl (0.0000, 0.0000, 0.2341)  4 Ag 3.05, 4 Cd 3.19
Cd (0.5000, 0.5000, 0.5000)  8 Tl 3.19, 4 Cd 3.55
Ag (0.5000, 0.5000, 0.0000)  8 Tl 3.05



Density functional theory data (PBEsol) for TlCd2Ag after structural relaxation.

offset from the most stable computed form: 36 meV/atom
crystal system: orthorhombic

a b c (Å): 3.0411 5.0466 11.2480
angles (deg): 90.00 90.00 90.00
With the nearest neighbours (Å) after each atom.
Space group Immm (No. 71)
One atom of each set of equivalent atoms:
Tl (0.0000, 0.0000, 0.0000)  4 Ag 2.95, 2 Tl 3.04
Cd (0.0000, 0.5000, 0.2208)  2 Ag 2.91, 6 Cd 3.02-3.04
Ag (0.0000, 0.0000, 0.5000)  4 Cd 2.91, 4 Tl 2.95, 2 Ag 3.04



Density functional theory data (PBEsol) for Tl2CdAg after structural relaxation.

offset from the most stable computed form: 0 meV/atom
crystal system: tetragonal

a b c (Å): 3.2695 3.2695 8.7598
angles (deg): 90.00 90.00 90.00
With the nearest neighbours (Å) after each atom.
Space group P4mm (No. 99)
One atom of each set of equivalent atoms:
Tl (0.0000, 0.0000, 0.0000)  8 Tl 3.27-3.54, 4 Cd 3.29
Tl (0.5000, 0.5000, 0.3064)  4 Ag 3.09, 4 Tl 3.27
Cd (0.5000, 0.5000, 0.7324)  4 Ag 2.86
Ag (0.0000, 0.0000, 0.5396)  4 Cd 2.86, 4 Tl 3.09



Density functional theory data (PBEsol) for Tl2CdAg after structural relaxation.

offset from the most stable computed form: 74 meV/atom
crystal system: monoclinic

a b c (Å): 3.3995 4.0891 6.6564
angles (deg): 90.00 91.65 90.00
With the nearest neighbours (Å) after each atom.
Space group P2/m (No. 10)
One atom of each set of equivalent atoms:
Tl (0.0024, 0.0000, 0.2609)  4 Ag 3.07-3.13, 4 Cd 3.15-3.20, 3 Tl 3.18-3.40
Cd (0.5000, 0.5000, 0.0000)  8 Tl 3.15-3.20, 2 Ag 3.33, 2 Cd 3.40
Ag (0.5000, 0.5000, 0.5000)  8 Tl 3.07-3.13, 2 Cd 3.33, 2 Ag 3.40



Quick rundown of size of the total moment, same order as above: 0.000; 0.000; 0.000; 0.000; 0.000; 0.000; 0.000; 0.000 μB/f.u.
Quick rundown of ΔE_f, same order as above: 0.12; 0.04; 0.13; 0.07; 0.12; 0.06; 0.04; 0.12 eV per atom